Entry from Alexandria via LeMat-Bulk: crystalline Na2Cr7O14 at its relaxed geometry (GGA+U).

Cell lengths 10.067, 10.067, 10.067 Å; angles 33.16, 33.16, 33.16 degrees
Fractional positions:
Cr 0.061 0.061 0.061
Cr 0.500 0.000 0.000
Cr 0.939 0.939 0.939
Cr 0.575 0.575 0.575
Cr 0.000 0.500 0.000
Cr 0.425 0.425 0.425
Cr 0.000 0.000 0.500
O 0.223 0.223 0.701
O 0.871 0.871 0.871
O 0.637 0.637 0.118
O 0.777 0.777 0.299
O 0.882 0.363 0.363
O 0.637 0.118 0.637
O 0.363 0.882 0.363
O 0.701 0.223 0.223
O 0.118 0.637 0.637
O 0.299 0.777 0.777
O 0.129 0.129 0.129
O 0.363 0.363 0.882
O 0.777 0.299 0.777
O 0.223 0.701 0.223
Na 0.688 0.688 0.688
Na 0.312 0.312 0.312

E_tot   -163.086 eV/cell
Space-group type   R-3m (166)